## w
# MnZnRu

A crystal of MnZnRu relaxed with PBEsol (SCAN, Alexandria via LeMat-Bulk).

Lattice parameters (Å, degrees): 5.2417 5.2417 5.2417 149.56 149.56 43.59
Positions (direct):
1 Mn 0.0000 0.0000 0.0000
2 Zn 0.3331 0.3331 0.0000
3 Ru 0.6497 0.6497 0.0000

Summary:
Magnetization, μB/f.u.: 0.00

=====

## x
# MnZnRu

A crystal of MnZnRu relaxed with PBEsol (SCAN, Alexandria via LeMat-Bulk).

Lattice parameters (Å, degrees): 4.0168 4.0168 4.0168 60.00 60.00 60.00
Positions (direct):
1 Mn 0.0000 0.0000 0.0000
2 Zn 0.7500 0.7500 0.7500
3 Ru 0.5000 0.5000 0.5000

Summary:
Magnetization, μB/f.u.: 4.27

=====

Tell me which of them is the most stable. Sure, it is w.

=====

## w
# MnSb3

A crystal of MnSb3 relaxed with PBEsol (SCAN, Alexandria via LeMat-Bulk).

Lattice parameters (Å, degrees): 9.4817 9.4817 9.4817 20.17 20.17 20.17
Positions (direct):
1 Mn 0.0000 0.0000 0.0000
2 Sb 0.2685 0.2685 0.2685
3 Sb 0.5000 0.5000 0.5000
4 Sb 0.7315 0.7315 0.7315

Summary:
Magnetization, μB/f.u.: 2.53

=====

## x
# MnSb3

A crystal of MnSb3 relaxed with PBEsol (SCAN, Alexandria via LeMat-Bulk).

Lattice parameters (Å, degrees): 7.7853 7.7853 3.6669 90.00 90.00 117.69
Positions (direct):
1 Mn 0.0781 0.9219 0.7500
2 Mn 0.9219 0.0781 0.2500
3 Sb 0.1572 0.3429 0.7500
4 Sb 0.2456 0.7544 0.2500
5 Sb 0.3429 0.1572 0.2500
6 Sb 0.6571 0.8428 0.7500
7 Sb 0.7544 0.2456 0.7500
8 Sb 0.8428 0.6571 0.2500

Summary:
Magnetization, μB/f.u.: 3.01

=====

Tell me which of them is the most stable. Sure, it is x.

=====

## w
# MnSb3

A crystal of MnSb3 relaxed with PBEsol (SCAN, Alexandria via LeMat-Bulk).

Lattice parameters (Å, degrees): 6.7655 6.7655 6.7655 151.22 141.05 49.14
Positions (direct):
1 Mn 0.0000 0.0000 0.0000
2 Sb 0.1773 0.6773 0.5000
3 Sb 0.5000 0.5000 0.0000
4 Sb 0.8227 0.3227 0.5000

Summary:
Magnetization, μB/f.u.: 3.40

=====

## x
# MnSb3

A crystal of MnSb3 relaxed with PBEsol (SCAN, Alexandria via LeMat-Bulk).

Lattice parameters (Å, degrees): 3.2943 3.2943 8.0003 90.00 90.00 90.00
Positions (direct):
1 Mn 0.0000 0.0000 0.0000
2 Sb 0.0000 0.0000 0.5000
3 Sb 0.5000 0.5000 0.1925
4 Sb 0.5000 0.5000 0.8075

Summary:
Magnetization, μB/f.u.: 2.97

=====

Tell me which of them is the most stable. Sure, it is w.

=====

## w
# MnTlSb2

A crystal of MnTlSb2 relaxed with PBEsol (SCAN, Alexandria via LeMat-Bulk).

Lattice parameters (Å, degrees): 5.1451 5.1451 5.1451 60.00 60.00 60.00
Positions (direct):
1 Mn 0.0000 0.0000 0.0000
2 Tl 0.7500 0.7500 0.7500
3 Sb 0.2500 0.2500 0.2500
4 Sb 0.5000 0.5000 0.5000

Summary:
Magnetization, μB/f.u.: 4.56

=====

## x
# MnTlSb2

A crystal of MnTlSb2 relaxed with PBEsol (SCAN, Alexandria via LeMat-Bulk).

Lattice parameters (Å, degrees): 5.4422 5.4422 5.4422 128.86 128.86 75.24
Positions (direct):
1 Mn 0.0000 0.0000 0.0000
2 Tl 0.5000 0.5000 0.0000
3 Sb 0.2500 0.7500 0.5000
4 Sb 0.7500 0.2500 0.5000

Summary:
Magnetization, μB/f.u.: 4.34

=====

Tell me which of them is the most stable. Sure, it is x.

=====

## w
# ScMn4

A crystal of ScMn4 relaxed with PBEsol (SCAN, Alexandria via LeMat-Bulk).

Lattice parameters (Å, degrees): 4.9445 4.9445 4.9445 109.47 109.47 109.47
Positions (direct):
1 Sc 0.0000 0.0000 0.0000
2 Mn 0.0000 0.0000 0.5000
3 Mn 0.0000 0.5000 0.0000
4 Mn 0.5000 0.0000 0.0000
5 Mn 0.5000 0.5000 0.5000

Summary:
Magnetization, μB/f.u.: 14.55

=====

## x
# ScMn4

A crystal of ScMn4 relaxed with PBEsol (SCAN, Alexandria via LeMat-Bulk).

Lattice parameters (Å, degrees): 5.2570 5.2570 5.2570 137.51 137.51 61.66
Positions (direct):
1 Sc 0.0000 0.0000 0.0000
2 Mn 0.2500 0.7500 0.5000
3 Mn 0.3764 0.3764 0.0000
4 Mn 0.6236 0.6236 0.0000
5 Mn 0.7500 0.2500 0.5000

Summary:
Magnetization, μB/f.u.: 0.80

=====

Tell me which of them is the most stable. Sure, it is x.

=====

## w
# Sc3MnSi

A crystal of Sc3MnSi relaxed with PBEsol (SCAN, Alexandria via LeMat-Bulk).

Lattice parameters (Å, degrees): 4.6539 4.6539 4.6539 90.00 90.00 90.00
Positions (direct):
1 Sc 0.0000 0.0000 0.5000
2 Sc 0.0000 0.5000 0.0000
3 Sc 0.5000 0.0000 0.0000
4 Mn 0.0000 0.0000 0.0000
5 Si 0.5000 0.5000 0.5000

Summary:
Magnetization, μB/f.u.: 0.61

=====

## x
# Sc3MnSi

A crystal of Sc3MnSi relaxed with PBEsol (SCAN, Alexandria via LeMat-Bulk).

Lattice parameters (Å, degrees): 4.9656 4.9656 4.9656 90.00 90.00 90.00
Positions (direct):
1 Sc 0.0000 0.0000 0.5000
2 Sc 0.0000 0.5000 0.0000
3 Sc 0.5000 0.0000 0.0000
4 Mn 0.5000 0.5000 0.5000
5 Si 0.0000 0.0000 0.0000

Summary:
Magnetization, μB/f.u.: 5.53

=====

Tell me which of them is the most stable. Sure, it is x.

=====

## w
# SrScMn2

A crystal of SrScMn2 relaxed with PBEsol (SCAN, Alexandria via LeMat-Bulk).

Lattice parameters (Å, degrees): 3.2762 3.7948 6.5847 90.00 90.00 90.00
Positions (direct):
1 Sr 0.0000 0.0000 0.0000
2 Sc 0.0000 0.0000 0.5000
3 Mn 0.5000 0.5000 0.3519
4 Mn 0.5000 0.5000 0.6481

Summary:
Magnetization, μB/f.u.: 0.00

=====

## x
# SrScMn2

A crystal of SrScMn2 relaxed with PBEsol (SCAN, Alexandria via LeMat-Bulk).

Lattice parameters (Å, degrees): 5.0249 5.0249 3.3509 90.00 90.00 90.00
Positions (direct):
1 Sr 0.0000 0.0000 0.0000
2 Sc 0.5000 0.5000 0.0000
3 Mn 0.0000 0.5000 0.5000
4 Mn 0.5000 0.0000 0.5000

Summary:
Magnetization, μB/f.u.: 7.37

=====

Tell me which of them is the most stable. Sure, it is x.